Here is TaP2Ru at its PBEsol-relaxed geometry from Alexandria. Energies are from SCAN.

Computed properties:
**ΔE_f**: -261 meV/atom
**DOS(E_F)**: 2.2 states/eV/f.u.
**Energy**: -2.26472 Ry/atom
**SG**: No. 12

Cell: 3.0296 3.8735 5.4033 Å, 101.65 90.00 113.02°
Closest atoms and distances in Å follow each position.
Positions (direct):
P 0.7480 0.4959 0.7216  3 Ru 2.37-2.43, 3 Ta 2.56-2.57
P 0.2520 0.5041 0.2784  3 Ru 2.37-2.43, 3 Ta 2.56-2.57
Ru 0.0000 0.0000 0.5000  6 P 2.37-2.43
Ta 0.5000 0.0000 0.0000  6 P 2.56-2.57

Here is TaPRu at its PBEsol-relaxed geometry from Alexandria. Energies are from SCAN.

Computed properties:
**ΔE_f**: -134 meV/atom
**DOS(E_F)**: 2.1 states/eV/f.u.
**Energy**: -2.74907 Ry/atom
**SG**: No. 156

Cell: 2.8765 2.8765 6.0381 Å, 90.00 90.00 120.00°
Closest atoms and distances in Å follow each position.
Positions (direct):
P 0.0000 0.0000 0.9794  3 Ru 2.38, 3 Ta 2.66
Ru 0.3333 0.6667 0.6975  3 P 2.38
Ta 0.6667 0.3333 0.3231  3 P 2.66, 3 Ru 2.80, 6 Ta 2.88

Question: What is the formula in the first record?
Answer: TaP2Ru

Question: Which value of ΔE_f does entry 2 give?
Answer: -134 meV/atom

Question: Look up the DOS(E_F) of the first one.
Answer: 2.2 states/eV/f.u.

Question: Which value of energy does entry 1 give?
Answer: -2.26472 Ry/atom